DFT (PBE+U) results for crystalline Na3VBAsO7 at its relaxed geometry.

The structure in POSCAR format:
```
Na3VBAsO7
1.0
-1.5588 4.8272 1.8581
3.0231 -1.9402 8.4362
6.0492 2.5611 -1.5787
Na V B As O
6 2 2 2 14
Direct
0.7623 0.0753 0.2500
0.2377 0.9247 0.7500
0.2474 0.2400 0.9992
0.2474 0.2400 0.5008
0.7526 0.7600 0.4992
0.7526 0.7600 0.0008
0.2179 0.6726 0.2500
0.7822 0.3274 0.7500
0.7231 0.0626 0.7500
0.2769 0.9374 0.2500
0.7164 0.4239 0.2500
0.2836 0.5761 0.7500
0.3245 0.0808 0.2500
0.6755 0.9192 0.7500
0.9589 0.1225 0.7500
0.0411 0.8775 0.2500
0.5328 0.1745 0.7500
0.4672 0.8255 0.2500
0.4019 0.4612 0.2500
0.5981 0.5388 0.7500
0.1281 0.4161 0.7500
0.8719 0.5839 0.2500
0.7990 0.3120 0.0533
0.7990 0.3120 0.4468
0.2010 0.6880 0.5533
0.2010 0.6880 0.9467
```

- Calculated volume: 12.86 A^3/atom
- Total magnetic moment: 4.00 μB per cell
- Total DFT energy (no corrections): -164.48 eV for the cell shown